Computed, not measured: a relaxed Th5Bi2Sb2 crystal at the PBE-GGA level of DFT.

Its calculated volume is 31.902 A^3/atom. Its uncorrected formation energy is -5.86 eV/f.u. Its raw total energy is -6.55 eV per atom. For the energy above the most stable polymorph in this dataset, the calculation gives 0.00 eV/f.u. As for the magnetization: 0.000 μB/cell.

The structure belongs to space group Cmce (No. 64); the cell edges are 16.266, 8.422 and 8.384 Å and the angles 90.00°, 90.00° and 90.00°. The asymmetric unit holds Th at (0.000, 0.000, 0.000), Th at (0.129, 0.160, 0.338), Bi at (0.204, 0.000, 0.000) and Sb at (0.000, 0.140, 0.640).